# 1
A relaxed Tb4TmSc6 crystal, computed with GGA-PBE.

## Properties
offset from the most stable computed form	0.0507	eV/atom
N(E_F)	17.6	states/eV/f.u.
E_form	0.1763	eV/atom

Geometry as POSCAR:
```
Tb4TmSc6
1.0
10.353 0.000 0.000
-5.176 8.966 0.000
0.000 0.000 3.358
Tb Tm Sc
4 1 6
Cartesian
0.000 0.000 0.000
-2.044 4.797 1.679
2.044 4.797 1.679
0.000 8.337 1.679
5.176 2.989 0.000
0.000 2.866 0.000
-2.694 7.533 0.000
2.529 1.460 1.679
2.694 7.533 0.000
7.824 1.460 1.679
5.176 6.046 1.679
```


# 2
A relaxed Zr2CdAu crystal, computed with GGA-PBE.

## Properties
N(E_F)	4.4	states/eV/f.u.
E_form	-0.2830	eV/atom

Geometry as POSCAR:
```
Zr2CdAu
1.0
3.113 0.000 0.000
0.000 4.272 0.000
-0.016 0.000 6.213
Zr Cd Au
2 1 1
Cartesian
0.007 0.000 1.600
3.090 0.000 4.614
1.556 2.136 0.000
1.548 2.136 3.107
```


# 3
A relaxed Zn3BiP crystal, computed with GGA-PBE.

## Properties
offset from the most stable computed form	0.0000	eV/atom
N(E_F)	3.9	states/eV/f.u.
E_form	0.2658	eV/atom

Geometry as POSCAR:
```
Zn3BiP
1.0
4.764 0.000 0.000
0.000 4.764 0.000
0.000 0.000 4.764
Zn Bi P
3 1 1
Cartesian
0.000 0.000 2.382
0.000 2.382 0.000
2.382 0.000 0.000
2.382 2.382 2.382
0.000 0.000 0.000
```


Which formula does entry 1 have?
Tb4TmSc6


Among the records above, which one has the highest E_form?
Zn3BiP


The highest N(E_F) belongs to which entry?
Tb4TmSc6